# 1
Compound: Tb2Zn3Pb
Source: Alexandria
Functional: GGA-PBE
Structure: relaxed

Unit cell a=7.277 b=9.216 c=15.963 alpha=90.00 beta=90.00 gamma=90.00
Space group Fmmm (No. 69)
Asymmetric unit:
Tb 0.243 0.000 0.000 x8
Tb 0.250 0.250 0.250 x8
Zn 0.000 0.000 0.159 x8
Zn 0.000 0.240 0.079 x16
Pb 0.000 0.000 0.334 x8

Properties
* uncorrected energy: -3.179 eV/atom
* E_form: -0.380 eV/atom


# 2
Compound: Ho3ThAg4
Source: Alexandria
Functional: GGA-PBE
Structure: relaxed

Unit cell a=5.145 b=5.145 c=7.387 alpha=90.00 beta=90.00 gamma=90.00
Space group P4/mmm (No. 123)
Asymmetric unit:
Ho 0.000 0.000 0.000 x1
Ho 0.000 0.000 0.500 x1
Ho 0.500 0.500 0.000 x1
Th 0.500 0.500 0.500 x1
Ag 0.000 0.500 0.239 x4

Properties
* uncorrected energy: -4.300 eV/atom
* E_form: -0.230 eV/atom